Hf2SnPd | PBE-GGA | optimized geometry

Unit cell a=7.664 b=7.664 c=5.922 alpha=90.00 beta=90.00 gamma=90.00
Space group I-42d (No. 122)
Symmetry-distinct sites (fractional):
Hf 0.217 0.250 0.125
Sn 0.000 0.000 0.500
Pd 0.000 0.000 0.000

---

SrHf2Pd2 | PBE-GGA | optimized geometry

Unit cell a=8.178 b=8.178 c=3.293 alpha=90.00 beta=90.00 gamma=90.00
Space group P4/mbm (No. 127)
Symmetry-distinct sites (fractional):
Sr 0.000 0.000 0.000
Hf 0.152 0.348 0.500
Pd 0.127 0.627 0.000

Properties
**E above lowest polymorph**: 13.8 kJ per mole of atoms

---

SrHf2Pd2 | PBE-GGA | optimized geometry

Unit cell a=8.456 b=8.456 c=2.982 alpha=90.00 beta=90.00 gamma=90.00
Space group P4/mbm (No. 127)
Symmetry-distinct sites (fractional):
Sr 0.000 0.000 0.000
Hf 0.128 0.372 0.000
Pd 0.166 0.666 0.500

Properties
**E above lowest polymorph**: 13.2 kJ per mole of atoms

---

Result set for energy relative to the elements: -165, -268, -275 meV per atom, one per record in the order listed.